1.
# BiP2CO (SCAN, single point on PBEsol structure)
data_BiP2CO
_space_group_name_H-M_alt 'P 1'
_space_group_IT_number 1
_cell_length_a 3.622
_cell_length_b 3.622
_cell_length_c 5.811
_cell_angle_alpha 90.00
_cell_angle_beta 90.00
_cell_angle_gamma 90.00
loop_
_space_group_symop_operation_xyz
'x,y,z'
loop_
_atom_site_label
_atom_site_type_symbol
_atom_site_fract_x
_atom_site_fract_y
_atom_site_fract_z
_atom_site_occupancy
O1 O 0.000 0.000 0.500 1
Bi1 Bi 0.500 0.500 0.500 1
P1 P 0.500 0.000 0.000 1
C1 C 0.000 0.000 0.000 1
P2 P 0.000 0.500 0.000 1
# Electronic total energy ... -22.177 eV per atom
# Space group ... P4/mmm, No. 123
# V ... 15.2 A^3/atom
# Formation energy from raw total energies ... 0.965 eV per atom

2.
# Bi2OsC (SCAN, single point on PBEsol structure)
data_Bi2OsC
_space_group_name_H-M_alt 'P 1'
_space_group_IT_number 1
_cell_length_a 5.945
_cell_length_b 6.618
_cell_length_c 5.945
_cell_angle_alpha 63.31
_cell_angle_beta 90.00
_cell_angle_gamma 116.69
loop_
_space_group_symop_operation_xyz
'x,y,z'
loop_
_atom_site_label
_atom_site_type_symbol
_atom_site_fract_x
_atom_site_fract_y
_atom_site_fract_z
_atom_site_occupancy
Bi1 Bi 0.168 0.750 0.875 1
C1 C 0.500 0.000 0.500 1
C2 C 0.250 0.500 0.250 1
Bi2 Bi 0.582 0.750 0.375 1
Bi3 Bi 0.875 0.250 0.582 1
Bi4 Bi 0.375 0.250 0.168 1
Os1 Os 0.000 0.000 0.000 1
Os2 Os 0.750 0.500 0.750 1
# Electronic total energy ... -58.246 eV per atom
# Space group ... I-42d, No. 122
# V ... 22.6 A^3/atom

3.
# BiOsC3 (SCAN, single point on PBEsol structure)
data_BiOsC3
_space_group_name_H-M_alt 'P 1'
_space_group_IT_number 1
_cell_length_a 4.045
_cell_length_b 4.045
_cell_length_c 4.045
_cell_angle_alpha 90.00
_cell_angle_beta 90.00
_cell_angle_gamma 90.00
loop_
_space_group_symop_operation_xyz
'x,y,z'
loop_
_atom_site_label
_atom_site_type_symbol
_atom_site_fract_x
_atom_site_fract_y
_atom_site_fract_z
_atom_site_occupancy
C1 C 0.000 0.000 0.500 1
C2 C 0.500 0.000 0.000 1
C3 C 0.000 0.500 0.000 1
Bi1 Bi 0.500 0.500 0.500 1
Os1 Os 0.000 0.000 0.000 1
# Electronic total energy ... -34.100 eV per atom
# Space group ... Pm-3m, No. 221
# V ... 13.2 A^3/atom

4.
# Bi3OsC (SCAN, single point on PBEsol structure)
data_Bi3OsC
_space_group_name_H-M_alt 'P 1'
_space_group_IT_number 1
_cell_length_a 5.218
_cell_length_b 5.218
_cell_length_c 5.218
_cell_angle_alpha 90.00
_cell_angle_beta 90.00
_cell_angle_gamma 90.00
loop_
_space_group_symop_operation_xyz
'x,y,z'
loop_
_atom_site_label
_atom_site_type_symbol
_atom_site_fract_x
_atom_site_fract_y
_atom_site_fract_z
_atom_site_occupancy
C1 C 0.500 0.500 0.500 1
Os1 Os 0.000 0.000 0.000 1
Bi1 Bi 0.000 0.500 0.000 1
Bi2 Bi 0.500 0.000 0.000 1
Bi3 Bi 0.000 0.000 0.500 1
# Electronic total energy ... -61.552 eV per atom
# Space group ... Pm-3m, No. 221
# V ... 28.4 A^3/atom

5.
# ScBiOsC2 (SCAN, single point on PBEsol structure)
data_ScBiOsC2
_space_group_name_H-M_alt 'P 1'
_space_group_IT_number 1
_cell_length_a 3.970
_cell_length_b 3.970
_cell_length_c 5.781
_cell_angle_alpha 90.00
_cell_angle_beta 90.00
_cell_angle_gamma 90.00
loop_
_space_group_symop_operation_xyz
'x,y,z'
loop_
_atom_site_label
_atom_site_type_symbol
_atom_site_fract_x
_atom_site_fract_y
_atom_site_fract_z
_atom_site_occupancy
Sc1 Sc 0.500 0.500 0.500 1
C1 C 0.500 0.000 0.000 1
C2 C 0.000 0.500 0.000 1
Os1 Os 0.000 0.000 0.000 1
Bi1 Bi 0.000 0.000 0.500 1
# Electronic total energy ... -35.965 eV per atom
# Space group ... P4/mmm, No. 123
# V ... 18.2 A^3/atom

6.
# Ti2BiOsC (SCAN, single point on PBEsol structure)
data_Ti2BiOsC
_space_group_name_H-M_alt 'P 1'
_space_group_IT_number 1
_cell_length_a 4.061
_cell_length_b 4.061
_cell_length_c 4.775
_cell_angle_alpha 90.00
_cell_angle_beta 90.00
_cell_angle_gamma 90.00
loop_
_space_group_symop_operation_xyz
'x,y,z'
loop_
_atom_site_label
_atom_site_type_symbol
_atom_site_fract_x
_atom_site_fract_y
_atom_site_fract_z
_atom_site_occupancy
Ti1 Ti 0.000 0.500 0.000 1
Bi1 Bi 0.000 0.000 0.500 1
Os1 Os 0.500 0.500 0.500 1
C1 C 0.000 0.000 0.000 1
Ti2 Ti 0.500 0.000 0.000 1
# Electronic total energy ... -38.190 eV per atom
# Space group ... P4/mmm, No. 123
# V ... 15.8 A^3/atom

7.
# BiP3C (SCAN, single point on PBEsol structure)
data_BiP3C
_space_group_name_H-M_alt 'P 1'
_space_group_IT_number 1
_cell_length_a 4.248
_cell_length_b 4.248
_cell_length_c 4.248
_cell_angle_alpha 90.00
_cell_angle_beta 90.00
_cell_angle_gamma 90.00
loop_
_space_group_symop_operation_xyz
'x,y,z'
loop_
_atom_site_label
_atom_site_type_symbol
_atom_site_fract_x
_atom_site_fract_y
_atom_site_fract_z
_atom_site_occupancy
P1 P 0.000 0.000 0.500 1
C1 C 0.000 0.000 0.000 1
Bi1 Bi 0.500 0.500 0.500 1
P2 P 0.000 0.500 0.000 1
P3 P 0.500 0.000 0.000 1
# Electronic total energy ... -22.692 eV per atom
# Space group ... Pm-3m, No. 221
# V ... 15.3 A^3/atom

8.
# BiPC3 (SCAN, single point on PBEsol structure)
data_BiPC3
_space_group_name_H-M_alt 'P 1'
_space_group_IT_number 1
_cell_length_a 3.807
_cell_length_b 3.807
_cell_length_c 3.807
_cell_angle_alpha 90.00
_cell_angle_beta 90.00
_cell_angle_gamma 90.00
loop_
_space_group_symop_operation_xyz
'x,y,z'
loop_
_atom_site_label
_atom_site_type_symbol
_atom_site_fract_x
_atom_site_fract_y
_atom_site_fract_z
_atom_site_occupancy
C1 C 0.500 0.000 0.000 1
C2 C 0.000 0.000 0.500 1
P1 P 0.000 0.000 0.000 1
Bi1 Bi 0.500 0.500 0.500 1
C3 C 0.000 0.500 0.000 1
# Electronic total energy ... -21.751 eV per atom
# Space group ... Pm-3m, No. 221
# V ... 11.0 A^3/atom